# 1
# Ti4FeBi PBE optimized geometry
# **ΔH_f (0 K)**: -1 kJ per mole of atoms
# **Mass density**: 7.28 Mg/m³
# **Volume**: 17.4 A^3/atom
# **Excess energy over the best structure of this formula in the dataset**: 0.0 meV/atom
data_Ti4FeBi
_cell_length_a 3.3822
_cell_length_b 3.3822
_cell_length_c 9.1044
_cell_angle_alpha 90.00
_cell_angle_beta 90.00
_cell_angle_gamma 90.00
_symmetry_space_group_name_H-M 'P 4/m m m'
_symmetry_Int_Tables_number 123
_symmetry_space_group_name_Hall '-P 4 2'
loop_
_atom_site_label
_atom_site_type_symbol
_atom_site_fract_x
_atom_site_fract_y
_atom_site_fract_z
Ti1 Ti 0.0000 0.0000 0.1531
Ti2 Ti 0.5000 0.5000 0.3189
Fe1 Fe 0.5000 0.5000 0.0000
Bi1 Bi 0.0000 0.0000 0.5000

=====

# 2
# Ti6FeBi3 PBE optimized geometry
# **ΔH_f (0 K)**: -7 kJ per mole of atoms
# **Mass density**: 8.17 Mg/m³
# **Volume**: 19.7 A^3/atom
# **Excess energy over the best structure of this formula in the dataset**: 0.0 meV/atom
data_Ti6FeBi3
_cell_length_a 8.7919
_cell_length_b 4.5724
_cell_length_c 10.6197
_cell_angle_alpha 90.00
_cell_angle_beta 112.60
_cell_angle_gamma 90.00
_symmetry_space_group_name_H-M 'P 1 21/m 1'
_symmetry_Int_Tables_number 11
loop_
_symmetry_equiv_pos_as_xyz
'x,y,z'
'-x,-y,-z'
'-x,y+1/2,-z'
'x,-y+1/2,z'
loop_
_atom_site_label
_atom_site_type_symbol
_atom_site_fract_x
_atom_site_fract_y
_atom_site_fract_z
Ti1 Ti 0.0271 0.2500 0.4274
Ti2 Ti 0.2187 0.7500 0.1440
Ti3 Ti 0.2688 0.2500 0.0012
Ti4 Ti 0.3583 0.2500 0.2947
Ti5 Ti 0.4028 0.7500 0.8890
Ti6 Ti 0.4534 0.2500 0.6112
Fe1 Fe 0.4684 0.7500 0.1409
Bi1 Bi 0.0002 0.2500 0.1397
Bi2 Bi 0.1965 0.2500 0.7127
Bi3 Bi 0.2645 0.7500 0.4578

=====

# 3
# Ti4FeBi2 PBE optimized geometry
# **ΔH_f (0 K)**: -28 kJ per mole of atoms
# **Mass density**: 8.02 Mg/m³
# **Volume**: 19.7 A^3/atom
data_Ti4FeBi2
_cell_length_a 10.5365
_cell_length_b 10.5365
_cell_length_c 4.9644
_cell_angle_alpha 90.00
_cell_angle_beta 90.00
_cell_angle_gamma 90.00
_symmetry_space_group_name_H-M 'I 4/m c m'
_symmetry_Int_Tables_number 140
_symmetry_space_group_name_Hall '-I 4 2c'
loop_
_atom_site_label
_atom_site_type_symbol
_atom_site_fract_x
_atom_site_fract_y
_atom_site_fract_z
Ti1 Ti 0.0797 0.1913 0.0000
Fe1 Fe 0.0000 0.0000 0.2500
Bi1 Bi 0.1390 0.3610 0.5000

=====

# 4
# Ti2FeBi PBE optimized geometry
# **ΔH_f (0 K)**: 57 kJ per mole of atoms
# **Mass density**: 8.11 Mg/m³
# **Volume**: 18.5 A^3/atom
data_Ti2FeBi
_cell_length_a 3.9247
_cell_length_b 3.9247
_cell_length_c 19.1788
_cell_angle_alpha 90.00
_cell_angle_beta 90.00
_cell_angle_gamma 90.00
_symmetry_space_group_name_H-M 'I -4 2 d'
_symmetry_Int_Tables_number 122
_symmetry_space_group_name_Hall 'I -4 2bw'
loop_
_atom_site_label
_atom_site_type_symbol
_atom_site_fract_x
_atom_site_fract_y
_atom_site_fract_z
Ti1 Ti 0.2437 0.2500 0.1250
Fe1 Fe 0.0000 0.0000 0.0000
Bi1 Bi 0.0000 0.0000 0.5000

=====

# 5
# TiV2FeBi PBE optimized geometry
# **ΔH_f (0 K)**: 205 kJ per mole of atoms
# **Mass density**: 5.33 Mg/m³
# **Volume**: 25.8 A^3/atom
data_TiV2FeBi
_cell_length_a 5.0167
_cell_length_b 5.0167
_cell_length_c 5.1324
_cell_angle_alpha 90.00
_cell_angle_beta 90.00
_cell_angle_gamma 90.00
_symmetry_space_group_name_H-M 'P 4/m m m'
_symmetry_Int_Tables_number 123
_symmetry_space_group_name_Hall '-P 4 2'
loop_
_atom_site_label
_atom_site_type_symbol
_atom_site_fract_x
_atom_site_fract_y
_atom_site_fract_z
Ti1 Ti 0.0000 0.0000 0.0000
V1 V 0.0000 0.5000 0.5000
Fe1 Fe 0.5000 0.5000 0.0000
Bi1 Bi 0.0000 0.0000 0.5000

=====

# 6
# Tl3FeBi PBE optimized geometry
# **ΔH_f (0 K)**: 38 kJ per mole of atoms
# **Mass density**: 10.00 Mg/m³
# **Volume**: 29.2 A^3/atom
# **Excess energy over the best structure of this formula in the dataset**: 0.0 meV/atom
data_Tl3FeBi
_cell_length_a 5.2634
_cell_length_b 5.2634
_cell_length_c 5.2634
_cell_angle_alpha 90.00
_cell_angle_beta 90.00
_cell_angle_gamma 90.00
_symmetry_space_group_name_H-M 'P m -3 m'
_symmetry_Int_Tables_number 221
_symmetry_space_group_name_Hall '-P 4 2 3'
loop_
_atom_site_label
_atom_site_type_symbol
_atom_site_fract_x
_atom_site_fract_y
_atom_site_fract_z
Tl1 Tl 0.0000 0.0000 0.5000
Fe1 Fe 0.0000 0.0000 0.0000
Bi1 Bi 0.5000 0.5000 0.5000

=====

# 7
# Tl2FeBi2 PBE optimized geometry
# **ΔH_f (0 K)**: 36 kJ per mole of atoms
# **Mass density**: 10.33 Mg/m³
# **Volume**: 28.4 A^3/atom
# **Excess energy over the best structure of this formula in the dataset**: 0.0 meV/atom
data_Tl2FeBi2
_cell_length_a 6.9040
_cell_length_b 6.9040
_cell_length_c 5.9555
_cell_angle_alpha 90.00
_cell_angle_beta 90.00
_cell_angle_gamma 90.00
_symmetry_space_group_name_H-M 'P 4/m b m'
_symmetry_Int_Tables_number 127
_symmetry_space_group_name_Hall '-P 4 2ab'
loop_
_atom_site_label
_atom_site_type_symbol
_atom_site_fract_x
_atom_site_fract_y
_atom_site_fract_z
Tl1 Tl 0.1755 0.3245 0.0000
Fe1 Fe 0.0000 0.0000 0.5000
Bi1 Bi 0.1611 0.6611 0.5000

=====

# 8
# TlFe2Bi2 PBE optimized geometry
# **ΔH_f (0 K)**: 51 kJ per mole of atoms
# **Mass density**: 10.01 Mg/m³
# **Volume**: 24.4 A^3/atom
# **Excess energy over the best structure of this formula in the dataset**: 0.0 meV/atom
data_TlFe2Bi2
_cell_length_a 5.0522
_cell_length_b 5.0522
_cell_length_c 9.5399
_cell_angle_alpha 90.00
_cell_angle_beta 90.00
_cell_angle_gamma 90.00
_symmetry_space_group_name_H-M 'I 4/m m m'
_symmetry_Int_Tables_number 139
_symmetry_space_group_name_Hall '-I 4 2'
loop_
_atom_site_label
_atom_site_type_symbol
_atom_site_fract_x
_atom_site_fract_y
_atom_site_fract_z
Tl1 Tl 0.0000 0.0000 0.0000
Fe1 Fe 0.0000 0.0000 0.3857
Bi1 Bi 0.0000 0.5000 0.2500